# Hf2CoCuO | Alexandria | GGA+U | relaxed
data_Hf2CoCuO
_chemical_formula_sum 'Hf2 Co1 Cu1 O1'
_symmetry_space_group_name_H-M 'P 4/m m m'
_symmetry_Int_Tables_number 123
_symmetry_space_group_name_Hall '-P 4 2'
_cell_length_a 4.944
_cell_length_b 4.944
_cell_length_c 3.384
_cell_angle_alpha 90.00
_cell_angle_beta 90.00
_cell_angle_gamma 90.00
loop_
_atom_site_label
_atom_site_fract_x
_atom_site_fract_y
_atom_site_fract_z
_atom_site_occupancy
Hf1 0.000 0.500 0.000 1
Co1 0.000 0.000 0.000 1
Cu1 0.500 0.500 0.500 1
O1 0.000 0.000 0.500 1
# Fermi-level density of states: 4.6 states/eV/cell
# E: -33.20 eV per cell